1.
VASP calculation (PBE) on crystalline AgIr2Os at its relaxed geometry.

Unit cell a=7.2259 b=7.2259 c=5.7657 alpha=51.20 beta=51.20 gamma=90.00
Last column: nearest neighbours and their distance in Å.
Fractional coordinates of all 8 atoms:
Ir  0.6678  0.1250  0.2500  2 Os 2.44
Ir  0.0822  0.6250  0.2500  2 Os 2.44
Ir  0.3750  0.3322  0.7500  2 Os 2.44
Ir  0.8750  0.9178  0.7500  2 Os 2.44
Os  0.0000  0.0000  0.0000  4 Ir 2.44, 2 Ag 2.67
Os  0.7500  0.2500  0.5000  4 Ir 2.44, 2 Ag 2.67
Ag  0.5000  0.5000  0.0000  2 Os 2.67, 4 Ir 2.86
Ag  0.2500  0.7500  0.5000  2 Os 2.67, 4 Ir 2.86

Calculated values
The magnetic moment is 0.00 Bohr magnetons per cell. The calculation puts the density at 16.3 g cm⁻³. The calculation puts the formation energy at 886 meV/atom. As for the energy above the lowest structure with this stoichiometry: 2.81 eV per formula unit. As for the symmetry: I-42d.


2.
VASP calculation (PBE) on crystalline AgIr2Os at its relaxed geometry.

Unit cell a=2.7663 b=2.7663 c=7.9645 alpha=90.00 beta=90.00 gamma=90.00
Last column: nearest neighbours and their distance in Å.
Fractional coordinates of all 4 atoms:
Ir  0.0000  0.0000  0.0209  4 Os 2.68, 4 Ir 2.77, 4 Ag 2.91
Ir  0.0000  0.0000  0.4791  4 Os 2.68, 4 Ir 2.77, 4 Ag 2.91
Os  0.5000  0.5000  0.2500  8 Ir 2.68, 4 Os 2.77
Ag  0.5000  0.5000  0.7500  4 Ag 2.77, 8 Ir 2.91

Calculated values
The magnetic moment is 0.00 Bohr magnetons per cell. The calculation puts the density at 18.6 g cm⁻³. The calculation puts the formation energy at 182 meV/atom. As for the energy above the lowest structure with this stoichiometry: 0.00 eV per formula unit. As for the symmetry: P4/mmm.


3.
VASP calculation (PBE) on crystalline AgIr2Os at its relaxed geometry.

Unit cell a=9.3542 b=9.3542 c=9.3542 alpha=16.95 beta=16.95 gamma=16.95
Last column: nearest neighbours and their distance in Å.
Fractional coordinates of all 4 atoms:
Ir  0.9961  0.9961  0.9961  9 Ir 2.74-2.76, 3 Ag 2.89
Ir  0.2486  0.2486  0.2486  3 Os 2.65, 9 Ir 2.74-2.76
Os  0.5051  0.5051  0.5051  3 Ir 2.65, 6 Os 2.76, 3 Ag 2.91
Ag  0.7502  0.7502  0.7502  6 Ag 2.76, 3 Ir 2.89, 3 Os 2.91

Calculated values
The magnetic moment is 0.09 Bohr magnetons per cell. The calculation puts the density at 18.7 g cm⁻³. The calculation puts the formation energy at 277 meV/atom. As for the energy above the lowest structure with this stoichiometry: 0.38 eV per formula unit. As for the symmetry: R3m.


4.
VASP calculation (PBE) on crystalline AgIr2Os at its relaxed geometry.

Unit cell a=2.7286 b=2.7286 c=9.6313 alpha=90.00 beta=90.00 gamma=120.02
Last column: nearest neighbours and their distance in Å.
Fractional coordinates of all 4 atoms:
Ir  0.0000  0.0000  0.0093  8 Ir 2.71-2.73, 2 Ag 2.84
Ir  0.5000  0.5000  0.2521  2 Os 2.65, 8 Ir 2.71-2.73
Os  0.0000  0.0000  0.4879  2 Ir 2.65, 6 Os 2.73, 2 Ag 2.88
Ag  0.5000  0.5000  0.7507  6 Ag 2.73, 2 Ir 2.84, 2 Os 2.88

Calculated values
The magnetic moment is 0.00 Bohr magnetons per cell. The calculation puts the density at 18.3 g cm⁻³. The calculation puts the formation energy at 504 meV/atom. As for the energy above the lowest structure with this stoichiometry: 1.29 eV per formula unit. As for the symmetry: Cmm2.


5.
VASP calculation (PBE) on crystalline AgIrOs at its relaxed geometry.

Unit cell a=5.1017 b=5.1017 c=5.1017 alpha=148.63 beta=136.03 gamma=55.01
Last column: nearest neighbours and their distance in Å.
Fractional coordinates of all 3 atoms:
Ir  0.6891  0.6891  0.0000  4 Os 2.60, 2 Ir 2.76, 5 Ag 2.81-2.91
Os  0.3108  0.3108  0.0000  4 Ir 2.60, 2 Os 2.76, 1 Ag 2.81
Ag  0.0001  0.0001  0.0000  2 Ag 2.76, 5 Os 2.81-2.91, 5 Ir 2.81-2.91

Calculated values
The magnetic moment is 0.00 Bohr magnetons per cell. The calculation puts the density at 17.1 g cm⁻³. The calculation puts the formation energy at 506 meV/atom. As for the energy above the lowest structure with this stoichiometry: 0.58 eV per formula unit. As for the symmetry: Imm2.


6.
VASP calculation (PBE) on crystalline AgIr2Os at its relaxed geometry.

Unit cell a=2.7499 b=2.7499 c=8.0533 alpha=90.00 beta=90.00 gamma=90.00
Last column: nearest neighbours and their distance in Å.
Fractional coordinates of all 4 atoms:
Ir  0.0000  0.0000  0.0158  8 Ir 2.74-2.75, 4 Ag 2.90
Ir  0.5000  0.5000  0.2548  4 Os 2.66, 8 Ir 2.74-2.75
Os  0.0000  0.0000  0.4805  4 Ir 2.66, 4 Os 2.75, 4 Ag 2.91
Ag  0.5000  0.5000  0.7489  4 Ag 2.75, 4 Ir 2.90, 4 Os 2.91

Calculated values
The magnetic moment is 0.00 Bohr magnetons per cell. The calculation puts the density at 18.6 g cm⁻³. The calculation puts the formation energy at 346 meV/atom. As for the energy above the lowest structure with this stoichiometry: 0.65 eV per formula unit. As for the symmetry: P4mm.


7.
VASP calculation (PBE) on crystalline AgIrOs at its relaxed geometry.

Unit cell a=7.6497 b=7.4044 c=2.7383 alpha=84.62 beta=74.51 gamma=20.88
Last column: nearest neighbours and their distance in Å.
Fractional coordinates of all 3 atoms:
Ir  0.3259  0.3259  0.6741  2 Os 2.60, 6 Ir 2.74-2.76, 2 Ag 2.88
Os  0.6746  0.6746  0.3254  2 Ir 2.60, 6 Os 2.74-2.76, 2 Ag 2.90
Ag  0.9996  0.9996  0.0004  6 Ag 2.74-2.76, 2 Ir 2.88, 2 Os 2.90

Calculated values
The magnetic moment is 0.35 Bohr magnetons per cell. The calculation puts the density at 17.1 g cm⁻³. The calculation puts the formation energy at 566 meV/atom. As for the energy above the lowest structure with this stoichiometry: 0.75 eV per formula unit. As for the symmetry: Fmm2.


8.
VASP calculation (PBE) on crystalline AgIr2Os at its relaxed geometry.

Unit cell a=4.4275 b=4.4275 c=4.4275 alpha=60.00 beta=60.00 gamma=60.00
Last column: nearest neighbours and their distance in Å.
Fractional coordinates of all 4 atoms:
Ir  0.0000  0.0000  0.0000  4 Ir 2.71, 4 Os 2.71
Ir  0.2500  0.2500  0.2500  4 Ag 2.71, 4 Ir 2.71
Os  0.7500  0.7500  0.7500  4 Ir 2.71, 4 Ag 2.71
Ag  0.5000  0.5000  0.5000  4 Os 2.71, 4 Ir 2.71

Calculated values
The magnetic moment is 0.00 Bohr magnetons per cell. The calculation puts the density at 18.5 g cm⁻³. The calculation puts the formation energy at 783 meV/atom. As for the energy above the lowest structure with this stoichiometry: 2.40 eV per formula unit. As for the symmetry: F-43m.


9.
VASP calculation (PBE) on crystalline Ag2IrOs at its relaxed geometry.

Unit cell a=4.7353 b=4.7353 c=5.2007 alpha=82.26 beta=82.26 gamma=33.93
Last column: nearest neighbours and their distance in Å.
Fractional coordinates of all 4 atoms:
Ir  0.5049  0.5049  0.4538  3 Os 2.59-2.61, 2 Ir 2.76, 2 Ag 2.83
Os  0.2457  0.2457  0.2963  3 Ir 2.59-2.61, 2 Os 2.76, 2 Ag 2.83
Ag  0.9980  0.9980  0.9809  5 Ag 2.63-2.77, 2 Ir 2.83
Ag  0.7514  0.7514  0.7690  5 Ag 2.63-2.77, 2 Os 2.83

Calculated values
The magnetic moment is 0.00 Bohr magnetons per cell. The calculation puts the density at 15.4 g cm⁻³. The calculation puts the formation energy at 491 meV/atom. As for the energy above the lowest structure with this stoichiometry: 0.83 eV per formula unit. As for the symmetry: Cm.


10.
VASP calculation (PBE) on crystalline Ag2IrOs at its relaxed geometry.

Unit cell a=9.5705 b=9.5705 c=9.5705 alpha=16.79 beta=16.79 gamma=16.79
Last column: nearest neighbours and their distance in Å.
Fractional coordinates of all 4 atoms:
Ir  0.4949  0.4949  0.4949  3 Os 2.62, 6 Ir 2.79, 3 Ag 2.92
Os  0.7551  0.7551  0.7551  3 Ir 2.62, 6 Os 2.79, 3 Ag 2.93
Ag  0.0022  0.0022  0.0022  9 Ag 2.79-2.96, 3 Os 2.93
Ag  0.2477  0.2477  0.2477  9 Ag 2.79-2.96, 3 Ir 2.92

Calculated values
The magnetic moment is 0.00 Bohr magnetons per cell. The calculation puts the density at 15.6 g cm⁻³. The calculation puts the formation energy at 286 meV/atom. As for the energy above the lowest structure with this stoichiometry: 0.01 eV per formula unit. As for the symmetry: R3m.


> Among the records above, which one has the highest energy above the lowest structure with this stoichiometry?

number 1


> What is the formula in the fourth record?

AgIr2Os